Entry 1:
Computed, not measured: Pu4CdGa12 after structural relaxation at the GGA-PBE level of DFT.

Its total energy is -200.5 eV for the cell shown. Its energy of formation from the pure elements is -0.335 eV/atom.

The space group is Im-3m (No. 229) and the conventional cell measures 8.761, 8.761 and 8.761 Å, with angles of 90.00, 90.00 and 90.00 degrees. The asymmetric unit holds Pu at (0.250, 0.250, 0.250), Cd at (0.000, 0.000, 0.000), Ga at (0.000, 0.000, 0.309) and Ga at (0.000, 0.250, 0.500).

=====

Entry 2:
Computed, not measured: PBr2 after structural relaxation at the GGA-PBE level of DFT.

Its total energy is -35.9 eV for the cell shown. The formation energy (no corrections) comes out at -0.07 eV/atom.

The space group is C2/m (No. 12) and the conventional cell measures 13.681, 4.056 and 8.419 Å, with angles of 90.00, 119.58 and 90.00 degrees. The asymmetric unit holds P at (0.231, 0.000, 0.406), Br at (0.046, 0.000, 0.295) and Br at (0.237, 0.500, 0.203).

=====

Entry 3:
Computed, not measured: Tb4CeY10 after structural relaxation at the GGA-PBE level of DFT.

Its total energy is -155.2 eV for the cell shown. Its energy of formation from the pure elements is 0.768 eV/atom.

The space group is I4/m (No. 87) and the conventional cell measures 12.187, 12.187 and 7.702 Å, with angles of 90.00, 90.00 and 90.00 degrees. The asymmetric unit holds Tb at (0.101, 0.299, 0.000), Ce at (0.000, 0.000, 0.500), Y at (0.000, 0.500, 0.250) and Y at (0.098, 0.801, 0.252).

=====

Entry 4:
Computed, not measured: Ce2MnSnS5 after structural relaxation at the GGA-PBE level of DFT.

Its total energy is -224.1 eV for the cell shown. The formation energy (no corrections) comes out at -1.15 eV/atom.

The space group is Cmc2_1 (No. 36) and the conventional cell measures 3.971, 16.470 and 12.685 Å, with angles of 90.00, 90.00 and 90.00 degrees. The asymmetric unit holds Ce at (0.000, 0.097, 0.000), Ce at (0.000, 0.150, 0.622), Mn at (0.000, 0.225, 0.377), Sn at (0.000, 0.456, 0.770), S at (0.000, 0.084, 0.398), S at (0.000, 0.268, 0.990), S at (0.000, 0.331, 0.645), S at (0.000, 0.357, 0.307) and S at (0.000, 0.477, 0.072).

=====

Entry 5:
Computed, not measured: Ti2TlNiH after structural relaxation at the GGA-PBE level of DFT.

Its total energy is -28.0 eV for the cell shown.

The space group is P4/mmm (No. 123) and the conventional cell measures 4.099, 4.099 and 4.021 Å, with angles of 90.00, 90.00 and 90.00 degrees. The asymmetric unit holds Ti at (0.000, 0.500, 0.000), Tl at (0.000, 0.000, 0.500), Ni at (0.500, 0.500, 0.500) and H at (0.500, 0.500, 0.000).

=====

Entry 6:
Computed, not measured: Tl3SiP after structural relaxation at the GGA-PBE level of DFT.

Its total energy is -14.5 eV for the cell shown. The formation energy (no corrections) comes out at 0.68 eV/atom.

The space group is Pm-3m (No. 221) and the conventional cell measures 5.250, 5.250 and 5.250 Å, with angles of 90.00, 90.00 and 90.00 degrees. The asymmetric unit holds Tl at (0.000, 0.000, 0.500), Si at (0.000, 0.000, 0.000) and P at (0.500, 0.500, 0.500).

=====

Entry 7:
Computed, not measured: CdReOsN2 after structural relaxation at the GGA-PBE level of DFT.

Its total energy is -25.5 eV for the cell shown. The formation energy (no corrections) comes out at 3.15 eV/atom.

The space group is P4/mmm (No. 123) and the conventional cell measures 3.892, 3.892 and 5.353 Å, with angles of 90.00, 90.00 and 90.00 degrees. The asymmetric unit holds Cd at (0.000, 0.000, 0.000), Re at (0.500, 0.500, 0.500), Os at (0.000, 0.000, 0.500) and N at (0.000, 0.500, 0.000).

=====

Entry 8:
Computed, not measured: TbDy2Y6Er after structural relaxation at the GGA-PBE level of DFT.

Its total energy is -224.0 eV for the cell shown. Its energy of formation from the pure elements is 0.118 eV/atom.

The space group is C2/c (No. 15) and the conventional cell measures 9.078, 14.990 and 9.610 Å, with angles of 90.00, 98.38 and 90.00 degrees. The asymmetric unit holds Tb at (0.000, 0.023, 0.250), Dy at (0.248, 0.051, 0.546), Y at (0.063, 0.185, 0.944), Y at (0.101, 0.394, 0.118), Y at (0.207, 0.223, 0.316) and Er at (0.000, 0.409, 0.750).